Material: Sc3GaO
Method: DFT, PBE
State: relaxed

a = 7.533 Å, b = 7.533 Å, c = 7.533 Å
α = 49.60°, β = 49.60°, γ = 49.60°
Sites, in units of the cell vectors:
Sc 0.062 0.750 0.438
Sc 0.250 0.562 0.938
Sc 0.438 0.062 0.750
Sc 0.562 0.938 0.250
Sc 0.750 0.438 0.062
Sc 0.938 0.250 0.562
Ga 0.000 0.000 0.000
Ga 0.500 0.500 0.500
O 0.250 0.250 0.250
O 0.750 0.750 0.750

The spin magnetization is 3.97 μB/cell. The space group is R-3c. As for the total energy: -6.503 eV/atom. As for the mass density: 3.21 g/cm3.